The following is a DFT calculation (PBE+U) of a relaxed structure of CaNiO2.

Structure (CIF):
```
data_CaNiO2
_chemical_formula_sum 'Ca4 Ni4 O8'
_symmetry_space_group_name_H-M 'F m -3 m'
_symmetry_Int_Tables_number 225
_symmetry_space_group_name_Hall '-F 4 2 3'
_cell_length_a 5.5653
_cell_length_b 5.5653
_cell_length_c 5.5653
_cell_angle_alpha 90.00
_cell_angle_beta 90.00
_cell_angle_gamma 90.00
loop_
_atom_site_label
_atom_site_fract_x
_atom_site_fract_y
_atom_site_fract_z
Ca1 0.0000 0.0000 0.0000
Ni1 0.0000 0.0000 0.5000
O1 0.2500 0.2500 0.2500
```

## Properties
**Size of the total moment**: 8.00 μB/cell
**VASP energy**: -4.735 eV per atom